1.
The following is a GGA-PBE calculation of a geometry-optimized ScV2Pb2 structure, from the Alexandria database.

```
data_ScV2Pb2
_chemical_formula_sum 'Sc2 V4 Pb4'
_symmetry_space_group_name_H-M 'I 4/m m m'
_symmetry_Int_Tables_number 139
_symmetry_space_group_name_Hall '-I 4 2'
_cell_length_a 4.802
_cell_length_b 4.802
_cell_length_c 9.577
_cell_angle_alpha 90.00
_cell_angle_beta 90.00
_cell_angle_gamma 90.00
loop_
_atom_site_label
_atom_site_type_symbol
_atom_site_fract_x
_atom_site_fract_y
_atom_site_fract_z
Sc1 Sc 0.000 0.000 0.000
V1 V 0.000 0.000 0.404
Pb1 Pb 0.000 0.500 0.250
```

Output
Offset from the most stable computed form ... 0.11 eV/f.u.
Density of states at the Fermi level ... 7.80 states/eV/cell
Total magnetic moment ... 0.00 μB per cell
Electronic total energy ... -6.05 eV per atom
Energy of formation ... 0.3463 eV/atom

---

2.
The following is a GGA-PBE calculation of a geometry-optimized GdCuSe2 structure, from the Alexandria database.

```
data_GdCuSe2
_chemical_formula_sum 'Gd3 Cu3 Se6'
_symmetry_space_group_name_H-M 'R -3 m'
_symmetry_Int_Tables_number 166
_symmetry_space_group_name_Hall '-R 3 2"'
_cell_length_a 3.7406
_cell_length_b 3.7406
_cell_length_c 24.7814
_cell_angle_alpha 90.00
_cell_angle_beta 90.00
_cell_angle_gamma 120.00
loop_
_atom_site_label
_atom_site_type_symbol
_atom_site_fract_x
_atom_site_fract_y
_atom_site_fract_z
Gd1 Gd 0.0000 0.0000 0.0000
Cu1 Cu 0.0000 0.0000 0.5000
Se1 Se 0.0000 0.0000 0.1121
```

Output
Density of states at the Fermi level ... 12.83 states/eV/cell
Total magnetic moment ... 21.25 μB per cell
Electronic total energy ... -6.53 eV per atom
Energy relative to the elements, uncorrected ... -24 kJ per mole of atoms

---

3.
The following is a GGA-PBE calculation of a geometry-optimized PmDyGa2Cu2 structure, from the Alexandria database.

```
data_PmDyGa2Cu2
_chemical_formula_sum 'Pm1 Dy1 Ga2 Cu2'
_symmetry_space_group_name_H-M 'P -3 m 1'
_symmetry_Int_Tables_number 164
_symmetry_space_group_name_Hall '-P 3 2"'
_cell_length_a 4.3751
_cell_length_b 4.3751
_cell_length_c 7.2860
_cell_angle_alpha 90.00
_cell_angle_beta 90.00
_cell_angle_gamma 120.00
loop_
_atom_site_label
_atom_site_type_symbol
_atom_site_fract_x
_atom_site_fract_y
_atom_site_fract_z
Pm1 Pm 0.0000 0.0000 0.0000
Dy1 Dy 0.0000 0.0000 0.5000
Ga1 Ga 0.3333 0.6667 0.2639
Cu1 Cu 0.3333 0.6667 0.7300
```

Output
Density of states at the Fermi level ... 6.01 states/eV/cell
Total magnetic moment ... 0.00 μB per cell
Electronic total energy ... -4.41 eV per atom
Energy of formation ... -0.4812 eV/atom

---

4.
The following is a GGA-PBE calculation of a geometry-optimized TbMgPdRu structure, from the Alexandria database.

```
data_TbMgPdRu
_chemical_formula_sum 'Tb4 Mg4 Pd4 Ru4'
_symmetry_space_group_name_H-M 'F -4 3 m'
_symmetry_Int_Tables_number 216
_symmetry_space_group_name_Hall 'F -4 2 3'
_cell_length_a 6.632
_cell_length_b 6.632
_cell_length_c 6.632
_cell_angle_alpha 90.00
_cell_angle_beta 90.00
_cell_angle_gamma 90.00
loop_
_atom_site_label
_atom_site_type_symbol
_atom_site_fract_x
_atom_site_fract_y
_atom_site_fract_z
Tb1 Tb 0.000 0.000 0.000
Mg1 Mg 0.000 0.000 0.500
Pd1 Pd 0.250 0.250 0.750
Ru1 Ru 0.250 0.250 0.250
```

Output
Density of states at the Fermi level ... 10.60 states/eV/cell
Total magnetic moment ... 0.00 μB per cell
Electronic total energy ... -5.61 eV per atom
Energy of formation ... -0.4321 eV/atom

---

5.
The following is a GGA-PBE calculation of a geometry-optimized Zr2ScAl structure, from the Alexandria database.

```
data_Zr2ScAl
_chemical_formula_sum 'Zr4 Sc2 Al2'
_symmetry_space_group_name_H-M 'I m m m'
_symmetry_Int_Tables_number 71
_symmetry_space_group_name_Hall '-I 2 2'
_cell_length_a 4.329
_cell_length_b 4.339
_cell_length_c 8.991
_cell_angle_alpha 90.00
_cell_angle_beta 90.00
_cell_angle_gamma 90.00
loop_
_atom_site_label
_atom_site_type_symbol
_atom_site_fract_x
_atom_site_fract_y
_atom_site_fract_z
Zr1 Zr 0.000 0.000 0.250
Sc1 Sc 0.000 0.500 0.000
Al1 Al 0.000 0.500 0.500
```

Output
Density of states at the Fermi level ... 8.25 states/eV/cell
Total magnetic moment ... 0.00 μB per cell
Electronic total energy ... -7.05 eV per atom
Energy of formation ... -0.2602 eV/atom

---

6.
The following is a GGA-PBE calculation of a geometry-optimized Ac4Nd8Ho structure, from the Alexandria database.

```
data_Ac4Nd8Ho
_chemical_formula_sum 'Ac12 Nd24 Ho3'
_symmetry_space_group_name_H-M 'R -3 m'
_symmetry_Int_Tables_number 166
_symmetry_space_group_name_Hall '-R 3 2"'
_cell_length_a 11.5910
_cell_length_b 11.5910
_cell_length_c 14.2093
_cell_angle_alpha 90.00
_cell_angle_beta 90.00
_cell_angle_gamma 120.00
loop_
_atom_site_label
_atom_site_type_symbol
_atom_site_fract_x
_atom_site_fract_y
_atom_site_fract_z
Ac1 Ac 0.0000 0.0000 0.0000
Ac2 Ac 0.0000 0.5000 0.0000
Nd1 Nd 0.0000 0.0000 0.2424
Nd2 Nd 0.0102 0.5051 0.7476
Ho1 Ho 0.0000 0.0000 0.5000
```

Output
Density of states at the Fermi level ... 60.42 states/eV/cell
Total magnetic moment ... 0.00 μB per cell
Electronic total energy ... -4.04 eV per atom
Energy of formation ... 0.5119 eV/atom

---

7.
The following is a GGA-PBE calculation of a geometry-optimized SbIrPb2 structure, from the Alexandria database.

```
data_SbIrPb2
_chemical_formula_sum 'Sb4 Ir4 Pb8'
_symmetry_space_group_name_H-M 'I -4 2 d'
_symmetry_Int_Tables_number 122
_symmetry_space_group_name_Hall 'I -4 2bw'
_cell_length_a 6.460
_cell_length_b 6.460
_cell_length_c 13.327
_cell_angle_alpha 90.00
_cell_angle_beta 90.00
_cell_angle_gamma 90.00
loop_
_atom_site_label
_atom_site_type_symbol
_atom_site_fract_x
_atom_site_fract_y
_atom_site_fract_z
Sb1 Sb 0.000 0.000 0.000
Ir1 Ir 0.000 0.000 0.500
Pb1 Pb 0.200 0.250 0.625
```

Output
Density of states at the Fermi level ... 16.93 states/eV/cell
Total magnetic moment ... 0.00 μB per cell
Electronic total energy ... -4.58 eV per atom
Energy relative to the elements, uncorrected ... 50 kJ per mole of atoms

---

8.
The following is a GGA-PBE calculation of a geometry-optimized Li3Ga2Ni structure, from the Alexandria database.

```
data_Li3Ga2Ni
_chemical_formula_sum 'Li12 Ga8 Ni4'
_symmetry_space_group_name_H-M 'C 1 2/c 1'
_symmetry_Int_Tables_number 15
_cell_length_a 6.046
_cell_length_b 6.091
_cell_length_c 9.296
_cell_angle_alpha 90.00
_cell_angle_beta 108.81
_cell_angle_gamma 90.00
loop_
_symmetry_equiv_pos_as_xyz
'x,y,z'
'-x,-y,-z'
'-x,y,-z+1/2'
'x,-y,z+1/2'
'x+1/2,y+1/2,z'
'-x+1/2,-y+1/2,-z'
'-x+1/2,y+1/2,-z+1/2'
'x+1/2,-y+1/2,z+1/2'
loop_
_atom_site_label
_atom_site_type_symbol
_atom_site_fract_x
_atom_site_fract_y
_atom_site_fract_z
Li1 Li 0.000 0.124 0.250
Li2 Li 0.172 0.126 0.594
Ga1 Ga 0.171 0.375 0.091
Ni1 Ni 0.000 0.377 0.750
```

Output
Density of states at the Fermi level ... 6.20 states/eV/cell
Total magnetic moment ... 0.00 μB per cell
Electronic total energy ... -3.19 eV per atom
Energy of formation ... -0.2599 eV/atom